The following is a DFT calculation (PBE-GGA) of a relaxed Pu2NpScP4 crystal.

**E_form**: -1.129 eV per atom
**Size of the total moment**: 3.33 μB per formula unit
**Fermi-level density of states**: 3.45 states/eV per atom

CIF file:
```
data_Pu2NpScP4
_chemical_formula_sum 'Pu2 Np1 Sc1 P4'
_space_group_name_H-M_alt 'P 1 2/m 1'
_space_group_IT_number 10
_space_group_name_Hall '-P 2y'
_cell_length_a 6.763
_cell_length_b 3.940
_cell_length_c 6.791
_cell_angle_alpha 90.00
_cell_angle_beta 109.58
_cell_angle_gamma 90.00
loop_
_atom_site_label
_atom_site_type_symbol
_atom_site_fract_x
_atom_site_fract_y
_atom_site_fract_z
_atom_site_occupancy
Pu1 Pu 0.000 0.000 0.000 1
Pu2 Pu 0.500 0.500 0.000 1
Np1 Np 0.000 0.500 0.500 1
Sc1 Sc 0.500 0.000 0.500 1
P1 P 0.252 0.000 0.742 1
P2 P 0.255 0.500 0.260 1
```

The following is a DFT calculation (PBE-GGA) of a relaxed CrIn2P crystal.

**E_form**: 0.463 eV per atom
**Size of the total moment**: 4.19 μB per formula unit
**Fermi-level density of states**: 0.65 states/eV per atom

CIF file:
```
data_CrIn2P
_chemical_formula_sum 'Cr4 In8 P4'
_space_group_name_H-M_alt 'F -4 3 m'
_space_group_IT_number 216
_space_group_name_Hall 'F -4 2 3'
_cell_length_a 6.927
_cell_length_b 6.927
_cell_length_c 6.927
_cell_angle_alpha 90.00
_cell_angle_beta 90.00
_cell_angle_gamma 90.00
loop_
_atom_site_label
_atom_site_type_symbol
_atom_site_fract_x
_atom_site_fract_y
_atom_site_fract_z
_atom_site_occupancy
Cr1 Cr 0.000 0.000 0.000 1
In1 In 0.000 0.000 0.500 1
In2 In 0.250 0.250 0.250 1
P1 P 0.250 0.250 0.750 1
```

The following is a DFT calculation (PBE-GGA) of a relaxed Na2CaTl4Pb crystal.

**E_form**: -0.131 eV per atom
**Size of the total moment**: 0.00 μB per formula unit
**Fermi-level density of states**: 0.35 states/eV per atom

CIF file:
```
data_Na2CaTl4Pb
_chemical_formula_sum 'Na8 Ca4 Tl16 Pb4'
_space_group_name_H-M_alt 'C m c m'
_space_group_IT_number 63
_space_group_name_Hall '-C 2c 2'
_cell_length_a 5.110
_cell_length_b 11.888
_cell_length_c 16.479
_cell_angle_alpha 90.00
_cell_angle_beta 90.00
_cell_angle_gamma 90.00
loop_
_atom_site_label
_atom_site_type_symbol
_atom_site_fract_x
_atom_site_fract_y
_atom_site_fract_z
_atom_site_occupancy
Na1 Na 0.000 0.211 0.079 1
Ca1 Ca 0.000 0.422 0.250 1
Tl1 Tl 0.000 0.083 0.250 1
Tl2 Tl 0.000 0.090 0.597 1
Tl3 Tl 0.000 0.500 0.000 1
Pb1 Pb 0.000 0.264 0.750 1
```

The following is a DFT calculation (PBE-GGA) of a relaxed YLu2Pd crystal.

**E_form**: -0.315 eV per atom
**Size of the total moment**: 0.00 μB per formula unit
**Fermi-level density of states**: 1.18 states/eV per atom
**Excess energy over the best structure of this formula in the dataset**: 137 meV/atom

CIF file:
```
data_YLu2Pd
_chemical_formula_sum 'Y3 Lu6 Pd3'
_space_group_name_H-M_alt 'R -3 m'
_space_group_IT_number 166
_space_group_name_Hall '-R 3 2"'
_cell_length_a 3.6066
_cell_length_b 3.6066
_cell_length_c 28.9178
_cell_angle_alpha 90.00
_cell_angle_beta 90.00
_cell_angle_gamma 120.00
loop_
_atom_site_label
_atom_site_type_symbol
_atom_site_fract_x
_atom_site_fract_y
_atom_site_fract_z
_atom_site_occupancy
Y1 Y 0.0000 0.0000 0.0000 1
Lu1 Lu 0.0000 0.0000 0.2324 1
Pd1 Pd 0.0000 0.0000 0.5000 1
```

The following is a DFT calculation (PBE-GGA) of a relaxed PmTcI crystal.

**Size of the total moment**: 0.00 μB per formula unit
**Fermi-level density of states**: 0.56 states/eV per atom
**ΔE_f (raw)**: -0.700 eV per atom
**Excess energy over the best structure of this formula in the dataset**: 0 meV/atom

CIF file:
```
data_PmTcI
_chemical_formula_sum 'Pm6 Tc6 I6'
_space_group_name_H-M_alt 'R -3 m'
_space_group_IT_number 166
_space_group_name_Hall '-R 3 2"'
_cell_length_a 4.1523
_cell_length_b 4.1523
_cell_length_c 38.5054
_cell_angle_alpha 90.00
_cell_angle_beta 90.00
_cell_angle_gamma 120.00
loop_
_atom_site_label
_atom_site_type_symbol
_atom_site_fract_x
_atom_site_fract_y
_atom_site_fract_z
_atom_site_occupancy
Pm1 Pm 0.0000 0.0000 0.0574 1
Tc1 Tc 0.0000 0.0000 0.3385 1
I1 I 0.0000 0.0000 0.2196 1
```

The following is a DFT calculation (PBE-GGA) of a relaxed Pr2NiBi6 crystal.

**E_form**: -0.283 eV per atom
**Size of the total moment**: 0.00 μB per formula unit
**Fermi-level density of states**: 0.55 states/eV per atom

CIF file:
```
data_Pr2NiBi6
_chemical_formula_sum 'Pr4 Ni2 Bi12'
_space_group_name_H-M_alt 'A m m 2'
_space_group_IT_number 38
_space_group_name_Hall 'A 2 -2'
_cell_length_a 4.146
_cell_length_b 16.397
_cell_length_c 7.929
_cell_angle_alpha 90.00
_cell_angle_beta 90.00
_cell_angle_gamma 90.00
loop_
_atom_site_label
_atom_site_type_symbol
_atom_site_fract_x
_atom_site_fract_y
_atom_site_fract_z
_atom_site_occupancy
Pr1 Pr 0.000 0.160 0.000 1
Ni1 Ni 0.500 0.000 0.497 1
Bi1 Bi 0.000 0.000 0.742 1
Bi2 Bi 0.000 0.117 0.432 1
Bi3 Bi 0.500 0.000 0.150 1
Bi4 Bi 0.500 0.223 0.699 1
```